Entry 1:
# Pr2SiGe3Rh4 | Alexandria via LeMat-Bulk | PBE | optimized geometry
# formation energy from raw total energies = -9.05 eV/f.u.
# density = 8.494 g cm⁻³
# crystal system = tetragonal
data_Pr2SiGe3Rh4
_cell_length_a 4.275
_cell_length_b 4.275
_cell_length_c 10.050
_cell_angle_alpha 90.00
_cell_angle_beta 90.00
_cell_angle_gamma 90.00
_space_group_name_H-M_alt 'P -4 m 2'
_space_group_IT_number 115
_space_group_name_Hall 'P -4 -2'
loop_
_atom_site_label
_atom_site_fract_x
_atom_site_fract_y
_atom_site_fract_z
Pr1 0.000 0.500 0.242
Si1 0.500 0.500 0.000
Ge1 0.000 0.000 0.000
Ge2 0.000 0.500 0.631
Rh1 0.000 0.000 0.500
Rh2 0.000 0.500 0.878
Rh3 0.500 0.500 0.500

---

Entry 2:
# CsFeI2Cl | Alexandria via LeMat-Bulk | PBE | optimized geometry
# formation energy from raw total energies = -3.80 eV/f.u.
# density = 4.651 g cm⁻³
# crystal system = tetragonal
data_CsFeI2Cl
_cell_length_a 5.900
_cell_length_b 5.900
_cell_length_c 4.903
_cell_angle_alpha 90.00
_cell_angle_beta 90.00
_cell_angle_gamma 90.00
_space_group_name_H-M_alt 'P 4/m m m'
_space_group_IT_number 123
_space_group_name_Hall '-P 4 2'
loop_
_atom_site_label
_atom_site_fract_x
_atom_site_fract_y
_atom_site_fract_z
Cs1 0.000 0.000 0.000
Fe1 0.500 0.500 0.500
I1 0.000 0.500 0.500
Cl1 0.500 0.500 0.000

---

Entry 3:
# TbTlNi | Alexandria via LeMat-Bulk | PBE | optimized geometry
# density = 10.722 g cm⁻³
# crystal system = monoclinic
# formation energy from the elements = -0.315 eV per atom
data_TbTlNi
_cell_length_a 12.261
_cell_length_b 4.184
_cell_length_c 5.179
_cell_angle_alpha 90.00
_cell_angle_beta 100.28
_cell_angle_gamma 90.00
_space_group_name_H-M_alt 'C 1 2/m 1'
_space_group_IT_number 12
_space_group_name_Hall '-C 2y'
loop_
_atom_site_label
_atom_site_fract_x
_atom_site_fract_y
_atom_site_fract_z
Tb1 0.136 0.000 0.310
Tl1 0.083 0.500 0.784
Ni1 0.224 0.000 0.852

---

Entry 4:
# La2SmNb | Alexandria via LeMat-Bulk | PBE | optimized geometry
# density = 7.327 g cm⁻³
# crystal system = trigonal
# formation energy from the elements = 0.575 eV per atom
data_La2SmNb
_cell_length_a 3.3433
_cell_length_b 3.3433
_cell_length_c 36.6002
_cell_angle_alpha 90.00
_cell_angle_beta 90.00
_cell_angle_gamma 120.00
_space_group_name_H-M_alt 'R -3 m'
_space_group_IT_number 166
_space_group_name_Hall '-R 3 2"'
loop_
_atom_site_label
_atom_site_fract_x
_atom_site_fract_y
_atom_site_fract_z
La1 0.0000 0.0000 0.0789
Sm1 0.0000 0.0000 0.5000
Nb1 0.0000 0.0000 0.0000

---

Entry 5:
# NaLiCe2S4 | Alexandria via LeMat-Bulk | PBE | optimized geometry
# formation energy from raw total energies = -13.68 eV/f.u.
# density = 3.861 g cm⁻³
# crystal system = orthorhombic
data_NaLiCe2S4
_cell_length_a 8.075
_cell_length_b 8.139
_cell_length_c 11.475
_cell_angle_alpha 90.00
_cell_angle_beta 90.00
_cell_angle_gamma 90.00
_space_group_name_H-M_alt 'I m m a'
_space_group_IT_number 74
_space_group_name_Hall '-I 2b 2'
loop_
_atom_site_label
_atom_site_fract_x
_atom_site_fract_y
_atom_site_fract_z
Na1 0.250 0.250 0.250
Li1 0.000 0.000 0.000
Ce1 0.000 0.000 0.500
Ce2 0.250 0.250 0.750
S1 0.000 0.009 0.748
S2 0.248 0.250 0.504

---

Entry 6:
# Sr2Np4S9 | Alexandria via LeMat-Bulk | PBE | optimized geometry
# formation energy from raw total energies = -22.37 eV/f.u.
# density = 5.661 g cm⁻³
# crystal system = trigonal
data_Sr2Np4S9
_cell_length_a 7.0935
_cell_length_b 7.0935
_cell_length_c 19.0064
_cell_angle_alpha 90.00
_cell_angle_beta 90.00
_cell_angle_gamma 120.00
_space_group_name_H-M_alt 'P -3'
_space_group_IT_number 147
_space_group_name_Hall '-P 3'
loop_
_atom_site_label
_atom_site_fract_x
_atom_site_fract_y
_atom_site_fract_z
Sr1 0.0000 0.0000 0.1442
Sr2 0.0000 0.0000 0.3554
Np1 0.3333 0.6667 0.1834
Np2 0.3333 0.6667 0.4873
Np3 0.3333 0.6667 0.6864
Np4 0.3333 0.6667 0.9853
S1 0.0008 0.3201 0.2493
S2 0.0296 0.3997 0.5821
S3 0.0327 0.6329 0.0816

---

Entry 7:
# Mn2TcHg | Alexandria via LeMat-Bulk | PBE | optimized geometry
# density = 10.140 g cm⁻³
# crystal system = tetragonal
# formation energy from the elements = 0.778 eV per atom
data_Mn2TcHg
_cell_length_a 6.981
_cell_length_b 6.981
_cell_length_c 5.490
_cell_angle_alpha 90.00
_cell_angle_beta 90.00
_cell_angle_gamma 90.00
_space_group_name_H-M_alt 'I -4 2 d'
_space_group_IT_number 122
_space_group_name_Hall 'I -4 2bw'
loop_
_atom_site_label
_atom_site_fract_x
_atom_site_fract_y
_atom_site_fract_z
Mn1 0.211 0.250 0.125
Tc1 0.000 0.000 0.000
Hg1 0.000 0.000 0.500

---

Entry 8:
# Co2TcSe | Alexandria via LeMat-Bulk | PBE | optimized geometry
# formation energy from raw total energies = 1.41 eV/f.u.
# density = 9.484 g cm⁻³
# crystal system = orthorhombic
data_Co2TcSe
_cell_length_a 5.062
_cell_length_b 7.376
_cell_length_c 2.765
_cell_angle_alpha 90.00
_cell_angle_beta 90.00
_cell_angle_gamma 90.00
_space_group_name_H-M_alt 'C m m m'
_space_group_IT_number 65
_space_group_name_Hall '-C 2 2'
loop_
_atom_site_label
_atom_site_fract_x
_atom_site_fract_y
_atom_site_fract_z
Co1 0.250 0.250 0.000
Tc1 0.000 0.000 0.500
Se1 0.000 0.500 0.500